1.
The following is a DFT calculation (PBE-GGA) of an optimized crystal structure of KBa3I7.

Results
The calculated total energy comes out at -36.45 eV/f.u. The calculation puts the density of states at the Fermi level at 0.00 states/eV/atom. The calculation puts the uncorrected formation energy at -1.70 eV/atom.

Cell lengths 12.148, 16.486, 11.514 Å; angles 90.00, 90.00, 90.00 degrees
Space group C222_1 (No. 20)
Asymmetric unit:
K (0.001, 0.000, 0.000) x4
Ba (0.000, 0.500, 0.000) x4
Ba (0.227, 0.235, 0.750) x8
I (0.000, 0.110, 0.750) x4
I (0.000, 0.359, 0.250) x4
I (0.000, 0.373, 0.750) x4
I (0.244, 0.124, 0.481) x8
I (0.245, 0.124, 0.019) x8



2.
The following is a DFT calculation (PBE-GGA) of an optimized crystal structure of KBaI.

Results
The calculated total energy comes out at -7.20 eV/f.u. The calculation puts the density of states at the Fermi level at 0.61 states/eV/atom. The calculation puts the polymorph energy (0 for the lowest one) at 0 meV per atom. The calculation puts the uncorrected formation energy at -0.88 eV/atom.

Cell lengths 8.042, 4.706, 17.339 Å; angles 90.00, 93.03, 90.00 degrees
Space group C2/m (No. 12)
Asymmetric unit:
K (0.213, 0.000, 0.387) x4
Ba (0.182, 0.000, 0.103) x4
I (0.033, 0.500, 0.247) x4



3.
The following is a DFT calculation (PBE-GGA) of an optimized crystal structure of K2Ba2I.

Results
The calculated total energy comes out at -9.45 eV/f.u. The calculation puts the density of states at the Fermi level at 0.97 states/eV/atom. The calculation puts the uncorrected formation energy at -0.37 eV/atom.

Cell lengths 9.354, 9.354, 7.716 Å; angles 90.00, 90.00, 90.00 degrees
Space group P4/mbm (No. 127)
Asymmetric unit:
K (0.157, 0.343, 0.000) x4
Ba (0.164, 0.664, 0.500) x4
I (0.000, 0.000, 0.500) x2



4.
The following is a DFT calculation (PBE-GGA) of an optimized crystal structure of KBa2I4.

Results
The calculated total energy comes out at -21.67 eV/f.u. The calculation puts the density of states at the Fermi level at 0.23 states/eV/atom. The calculation puts the uncorrected formation energy at -1.50 eV/atom.

Cell lengths 9.039, 9.068, 10.390 Å; angles 107.64, 109.37, 105.69 degrees
Space group P-1 (No. 2)
Asymmetric unit:
K (0.218, 0.360, 0.076) x2
Ba (0.000, 0.000, 0.500) x1
Ba (0.000, 0.500, 0.500) x1
Ba (0.500, 0.000, 0.000) x1
Ba (0.500, 0.000, 0.500) x1
I (0.053, 0.862, 0.803) x2
I (0.078, 0.679, 0.257) x2
I (0.440, 0.249, 0.804) x2
I (0.461, 0.711, 0.671) x2



5.
The following is a DFT calculation (PBE-GGA) of an optimized crystal structure of KBa2I.

Results
The calculated total energy comes out at -7.62 eV/f.u. The calculation puts the density of states at the Fermi level at 0.64 states/eV/atom. The calculation puts the polymorph energy (0 for the lowest one) at 298 meV per atom. The calculation puts the uncorrected formation energy at -0.28 eV/atom.

Cell lengths 9.463, 9.463, 9.463 Å; angles 90.00, 90.00, 90.00 degrees
Space group Fm-3m (No. 225)
Asymmetric unit:
K (0.000, 0.000, 0.000) x4
Ba (0.250, 0.250, 0.250) x8
I (0.000, 0.000, 0.500) x4



6.
The following is a DFT calculation (PBE-GGA) of an optimized crystal structure of K3BaI.

Results
The calculated total energy comes out at -5.76 eV/f.u. The calculation puts the density of states at the Fermi level at 1.06 states/eV/atom. The calculation puts the polymorph energy (0 for the lowest one) at 564 meV per atom. The calculation puts the uncorrected formation energy at 0.20 eV/atom.

Cell lengths 8.203, 8.203, 8.203 Å; angles 90.00, 90.00, 90.00 degrees
Space group Pm-3m (No. 221)
Asymmetric unit:
K (0.000, 0.000, 0.500) x3
Ba (0.000, 0.000, 0.000) x1
I (0.500, 0.500, 0.500) x1



7.
The following is a DFT calculation (PBE-GGA) of an optimized crystal structure of K3Ba5I12.

Results
The calculated total energy comes out at -62.05 eV/f.u. The calculation puts the density of states at the Fermi level at 0.26 states/eV/atom. The calculation puts the uncorrected formation energy at -1.53 eV/atom.

Cell lengths 21.095, 21.095, 21.095 Å; angles 90.00, 90.00, 90.00 degrees
Space group Ia-3d (No. 230)
Asymmetric unit:
K (0.000, 0.250, 0.125) x24
Ba (0.000, 0.000, 0.000) x16
Ba (0.000, 0.250, 0.375) x24
I (0.021, 0.066, 0.651) x96



8.
The following is a DFT calculation (PBE-GGA) of an optimized crystal structure of K6BaI8.

Results
The calculated total energy comes out at -44.02 eV/f.u. The calculation puts the density of states at the Fermi level at 0.00 states/eV/atom. The calculation puts the uncorrected formation energy at -1.54 eV/atom.

Cell lengths 14.378, 14.378, 14.378 Å; angles 90.00, 90.00, 90.00 degrees
Space group Fm-3m (No. 225)
Asymmetric unit:
K (0.000, 0.250, 0.250) x24
Ba (0.000, 0.000, 0.000) x4
I (0.000, 0.000, 0.241) x24
I (0.250, 0.250, 0.250) x8



What did the fifth record say?
The following is a DFT calculation (PBE-GGA) of an optimized crystal structure of KBa2I.

Results
The calculated total energy comes out at -7.62 eV/f.u. The calculation puts the density of states at the Fermi level at 0.64 states/eV/atom. The calculation puts the polymorph energy (0 for the lowest one) at 298 meV per atom. The calculation puts the uncorrected formation energy at -0.28 eV/atom.

Cell lengths 9.463, 9.463, 9.463 Å; angles 90.00, 90.00, 90.00 degrees
Space group Fm-3m (No. 225)
Asymmetric unit:
K (0.000, 0.000, 0.000) x4
Ba (0.250, 0.250, 0.250) x8
I (0.000, 0.000, 0.500) x4